# CaNbN2

A geometry-optimized CaNbN2 structure (GGA-PBE, the Alexandria database).

Output
As for the space-group type: R3m (160). The value obtained for the theoretical density is 5.3 g/cm³. The volume is 12.54 Å³ per atom. The formation energy from raw total energies comes out at -1.005 eV/atom.

Lattice parameters (Å, degrees): 3.164 3.164 6.068 74.89 74.89 60.00
Atoms (fractional coordinates):
Ca 0.495 0.495 0.515
N 0.264 0.264 0.209
Nb 0.669 0.669 0.994
N 0.073 0.073 0.782